# Tm5Sb4O PBE relaxed
# Size of the total moment in μB per formula unit: 0.0
# Energy relative to the elements, uncorrected in meV/atom: -1272
data_Tm5Sb4O
_chemical_formula_sum 'Tm5 Sb4 O1'
_space_group_name_H-M_alt 'P 1'
_space_group_IT_number 1
_space_group_name_Hall 'P 1'
_cell_length_a 7.238
_cell_length_b 7.238
_cell_length_c 7.238
_cell_angle_alpha 100.22
_cell_angle_beta 100.22
_cell_angle_gamma 130.17
loop_
_atom_site_label
_atom_site_fract_x
_atom_site_fract_y
_atom_site_fract_z
Tm1 0.000 0.000 0.000
Tm2 0.321 0.690 0.827
Tm3 0.493 0.321 0.631
Tm4 0.690 0.862 0.369
Tm5 0.862 0.493 0.173
Sb1 0.005 0.788 0.608
Sb2 0.181 0.397 0.392
Sb3 0.397 0.005 0.216
Sb4 0.788 0.181 0.784
O1 0.652 0.652 0.000